1.
ThCo6Ge4 | PBE | optimized geometry

Lattice parameters (Å, degrees): 6.8102 6.8102 3.7694 90.00 90.00 120.00
With the nearest neighbours (Å) after each atom.
Element x y z (fractional)
Co  0.9306  0.4653  0.0000  5 Ge 2.38-2.45
Co  0.5347  0.4653  0.0000  5 Ge 2.38-2.45
Co  0.2056  0.4112  0.5000  4 Ge 2.39-2.41, 2 Co 2.61
Co  0.5347  0.0694  0.0000  5 Ge 2.38-2.45
Co  0.5888  0.7944  0.5000  4 Ge 2.39-2.41, 2 Co 2.61
Co  0.2056  0.7944  0.5000  4 Ge 2.39-2.41, 2 Co 2.61
Th  0.0000  0.0000  0.0000  6 Ge 3.01, 6 Co 3.07
Ge  0.3977  0.1989  0.5000  6 Co 2.39-2.45
Ge  0.3333  0.6667  0.0000  9 Co 2.38-2.41
Ge  0.8011  0.6023  0.5000  6 Co 2.39-2.45
Ge  0.8011  0.1989  0.5000  6 Co 2.39-2.45

Its space group is P-6m2 (187). As for the volume: 151.40 Å³ per cell. The calculation puts the raw total energy at -6.6040 eV/atom. Its total moment is 0.0 Bohr magnetons per cell.



2.
Na2Tb | PBE | optimized geometry

Lattice parameters (Å, degrees): 5.4420 5.4420 5.4420 60.00 60.00 60.00
With the nearest neighbours (Å) after each atom.
Element x y z (fractional)
Na  0.7500  0.7500  0.7500  4 Tb 3.33
Na  0.2500  0.2500  0.2500  4 Tb 3.33
Tb  0.0000  0.0000  0.0000  8 Na 3.33

Its space group is Fm-3m (225). As for the volume: 113.96 Å³ per cell. The energy above the most stable polymorph in this dataset comes out at 557 meV/atom. Its total moment is 0.0 Bohr magnetons per cell.